Material: Zr5Ru4Au
Method: DFT, PBE
State: relaxed

Unit cell a=3.2559 b=3.2559 c=17.1221 alpha=90.00 beta=90.00 gamma=90.00
Positions (direct):
Zr (0.5000, 0.5000, 0.1128)
Zr (0.5000, 0.5000, 0.3067)
Zr (0.5000, 0.5000, 0.5000)
Zr (0.5000, 0.5000, 0.6933)
Zr (0.5000, 0.5000, 0.8872)
Ru (0.0000, 0.0000, 0.2102)
Ru (0.0000, 0.0000, 0.4036)
Ru (0.0000, 0.0000, 0.5964)
Ru (0.0000, 0.0000, 0.7898)
Au (0.0000, 0.0000, 0.0000)

## Properties
The formation energy from the elements is -58 kJ per mole of atoms. For the total moment, the calculation gives 0.00 μB per cell. As for the symmetry: P4/mmm, No. 123.